(1)
Here is crystalline Tb6Dy2Ru at its relaxed geometry from Alexandria via LeMat-Bulk. Energies are from PBE-GGA.

Cell: 8.6442 3.6969 8.7263 Å, 90.00 93.39 90.00°
With the nearest neighbours (Å) after each atom.
Space group P2/m (No. 10)
Symmetry-distinct sites (fractional):
Tb 0.0357 0.0000 0.1986 x2  1 Ru 2.67
Tb 0.2306 0.5000 0.5520 x2  2 Ru 2.74
Tb 0.4448 0.0000 0.2816 x2  4 Dy 3.48-3.68, 8 Tb 3.57-3.88
Dy 0.3006 0.5000 0.9671 x2  3 Dy 3.46-3.70, 9 Tb 3.48-3.68
Ru 0.0000 0.0000 0.5000 x1  6 Tb 2.67-2.74

Values from the calculation:
As for the crystal system: monoclinic. The density of states at the Fermi level is 12.45 states/eV/cell. The mass density comes out at 8.23 g cm⁻³.

***

(2)
Here is crystalline Tb2Dy2Ru at its relaxed geometry from Alexandria via LeMat-Bulk. Energies are from PBE-GGA.

Cell: 7.3461 11.8667 7.3111 Å, 90.00 115.33 90.00°
With the nearest neighbours (Å) after each atom.
Space group C2/m (No. 12)
Symmetry-distinct sites (fractional):
Tb 0.2276 0.0000 0.4011 x4  2 Ru 3.08, 1 Tb 3.30
Tb 0.2428 0.5000 0.0952 x4  2 Ru 2.73
Dy 0.0504 0.2761 0.7530 x8  1 Ru 2.66
Ru 0.0000 0.1274 0.0000 x4  2 Dy 2.66, 2 Tb 2.73

Values from the calculation:
As for the crystal system: monoclinic. The density of states at the Fermi level is 23.48 states/eV/cell. The mass density comes out at 8.58 g cm⁻³.

***

(3)
Here is crystalline Tb5DyRu4 at its relaxed geometry from Alexandria via LeMat-Bulk. Energies are from PBE-GGA.

Cell: 14.4301 4.8532 6.7331 Å, 90.00 90.11 90.00°
With the nearest neighbours (Å) after each atom.
Space group C2/m (No. 12)
Symmetry-distinct sites (fractional):
Tb 0.0000 0.0000 0.0000 x2  6 Ru 2.92-2.96
Tb 0.1665 0.5000 0.0006 x4  5 Ru 2.93-2.96
Tb 0.1664 0.5000 0.5000 x4  5 Ru 2.92-2.96
Dy 0.0000 0.0000 0.5000 x2  6 Ru 2.91-2.95
Ru 0.0007 0.5000 0.7495 x4  6 Tb 2.92-2.96, 2 Dy 2.95
Ru 0.1648 0.0000 0.7501 x4  1 Dy 2.91, 7 Tb 2.92-2.96

Values from the calculation:
As for the crystal system: monoclinic. The density of states at the Fermi level is 15.88 states/eV/cell. The mass density comes out at 9.59 g cm⁻³.

***

(4)
Here is crystalline Tb3DyRu2 at its relaxed geometry from Alexandria via LeMat-Bulk. Energies are from PBE-GGA.

Cell: 6.7313 13.5225 7.0525 Å, 90.00 90.00 90.00°
With the nearest neighbours (Å) after each atom.
Space group Ibam (No. 72)
Symmetry-distinct sites (fractional):
Tb 0.0000 0.0000 0.2500 x4  4 Ru 2.94
Tb 0.0000 0.2648 0.2500 x8  4 Ru 2.91
Dy 0.0000 0.5000 0.0000 x4  2 Ru 2.60
Ru 0.2228 0.1342 0.0000 x8  1 Dy 2.60, 4 Tb 2.91

Values from the calculation:
As for the crystal system: orthorhombic. The density of states at the Fermi level is 9.60 states/eV/cell. The offset from the most stable computed form is 93.1 meV/atom. The mass density comes out at 8.71 g cm⁻³.

***

(5)
Here is crystalline Tb5DyRu3 at its relaxed geometry from Alexandria via LeMat-Bulk. Energies are from PBE-GGA.

Cell: 12.3084 9.0633 9.9592 Å, 90.00 112.58 90.00°
With the nearest neighbours (Å) after each atom.
Space group C2/m (No. 12)
Symmetry-distinct sites (fractional):
Tb 0.0000 0.1994 0.0000 x4  3 Ru 2.72-2.76
Tb 0.0649 0.0000 0.3664 x4  3 Ru 2.73-2.76
Tb 0.1674 0.3011 0.6658 x8  3 Ru 2.73-2.76
Tb 0.2330 0.5000 0.0344 x4  3 Ru 2.73-2.76
Dy 0.0994 0.5000 0.2989 x4  3 Ru 2.72-2.75
Ru 0.0000 0.5000 0.0000 x2  4 Tb 2.72-2.75, 2 Dy 2.75
Ru 0.0000 0.5000 0.5000 x2  2 Dy 2.72, 4 Tb 2.76
Ru 0.1663 0.0000 0.1664 x4  6 Tb 2.73-2.76
Ru 0.1679 0.0000 0.6656 x4  5 Tb 2.73-2.76, 1 Dy 2.75

Values from the calculation:
As for the crystal system: monoclinic. The density of states at the Fermi level is 10.15 states/eV/cell. The mass density comes out at 8.16 g cm⁻³.

***

(6)
Here is crystalline Tb3DyRu3 at its relaxed geometry from Alexandria via LeMat-Bulk. Energies are from PBE-GGA.

Cell: 9.5564 9.5564 5.8561 Å, 90.00 90.00 120.00°
With the nearest neighbours (Å) after each atom.
Space group R3m (No. 160, hexagonal axes)
Symmetry-distinct sites (fractional):
Tb 0.1955 0.3909 0.0000 x9  6 Ru 2.80-3.13
Dy 0.0000 0.0000 0.7816 x3  6 Ru 2.80-3.13
Ru 0.9999 0.4999 0.1957 x9  2 Dy 2.80-3.13, 5 Tb 2.80-3.13

Values from the calculation:
As for the crystal system: trigonal. The density of states at the Fermi level is 8.95 states/eV/cell. The offset from the most stable computed form is 0.0 meV/atom. The mass density comes out at 10.14 g cm⁻³.

***

(7)
Here is crystalline TbDy5Ru4 at its relaxed geometry from Alexandria via LeMat-Bulk. Energies are from PBE-GGA.

Cell: 14.3484 4.8533 6.7170 Å, 90.00 90.17 90.00°
With the nearest neighbours (Å) after each atom.
Space group C2/m (No. 12)
Symmetry-distinct sites (fractional):
Tb 0.0000 0.0000 0.0000 x2  6 Ru 2.90-2.95
Dy 0.0000 0.0000 0.5000 x2  6 Ru 2.90-2.95
Dy 0.1666 0.5000 0.0028 x4  5 Ru 2.92-2.96
Dy 0.1668 0.5000 0.5023 x4  5 Ru 2.91-2.96
Ru 0.0008 0.5000 0.7495 x4  6 Dy 2.91-2.95, 2 Tb 2.95
Ru 0.1650 0.0000 0.7507 x4  7 Dy 2.90-2.96, 1 Tb 2.90

Values from the calculation:
As for the crystal system: monoclinic. The density of states at the Fermi level is 15.89 states/eV/cell. The mass density comes out at 9.77 g cm⁻³.

***

(8)
Here is crystalline TbDy3Ru at its relaxed geometry from Alexandria via LeMat-Bulk. Energies are from PBE-GGA.

Cell: 5.3868 5.3868 5.3868 Å, 90.00 90.00 90.00°
With the nearest neighbours (Å) after each atom.
Space group Pm-3m (No. 221)
Symmetry-distinct sites (fractional):
Tb 0.0000 0.0000 0.0000 x1  12 Dy 3.81
Dy 0.0000 0.5000 0.5000 x3  2 Ru 2.69
Ru 0.5000 0.5000 0.5000 x1  6 Dy 2.69

Values from the calculation:
As for the crystal system: cubic. The density of states at the Fermi level is 8.57 states/eV/cell. The offset from the most stable computed form is 100.4 meV/atom. The mass density comes out at 7.94 g cm⁻³.

***

(9)
Here is crystalline TbDyRu2 at its relaxed geometry from Alexandria via LeMat-Bulk. Energies are from PBE-GGA.

Cell: 3.4064 3.4064 6.8110 Å, 90.00 90.00 90.00°
With the nearest neighbours (Å) after each atom.
Space group P4/mmm (No. 123)
Symmetry-distinct sites (fractional):
Tb 0.0000 0.0000 0.0000 x1  8 Ru 2.95
Dy 0.0000 0.0000 0.5000 x1  8 Ru 2.95
Ru 0.5000 0.5000 0.2509 x2  4 Dy 2.95, 4 Tb 2.95

Values from the calculation:
As for the crystal system: tetragonal. The density of states at the Fermi level is 5.16 states/eV/cell. The mass density comes out at 11.00 g cm⁻³.

***

(10)
Here is crystalline Tb3DyRu3 at its relaxed geometry from Alexandria via LeMat-Bulk. Energies are from PBE-GGA.

Cell: 9.6906 9.6539 6.7559 Å, 90.00 90.11 90.00°
With the nearest neighbours (Å) after each atom.
Space group C2/m (No. 12)
Symmetry-distinct sites (fractional):
Tb 0.0000 0.2462 0.0000 x4  6 Ru 2.92-2.96
Tb 0.0000 0.2482 0.5000 x4  6 Ru 2.93-2.95
Tb 0.2465 0.0000 0.0008 x4  6 Ru 2.93-2.95
Dy 0.2438 0.0000 0.5008 x4  6 Ru 2.90-2.95
Ru 0.0000 0.0000 0.2504 x4  2 Dy 2.90, 6 Tb 2.92-2.93
Ru 0.2500 0.2500 0.2504 x8  2 Dy 2.94-2.95, 6 Tb 2.94-2.96

Values from the calculation:
As for the crystal system: monoclinic. The density of states at the Fermi level is 16.03 states/eV/cell. The offset from the most stable computed form is 24.1 meV/atom. The mass density comes out at 9.90 g cm⁻³.

***

(11)
Here is crystalline TbDyRu4 at its relaxed geometry from Alexandria via LeMat-Bulk. Energies are from PBE-GGA.

Cell: 7.5518 7.5518 7.5518 Å, 90.00 90.00 90.00°
With the nearest neighbours (Å) after each atom.
Space group F-43m (No. 216)
Symmetry-distinct sites (fractional):
Tb 0.0000 0.0000 0.0000 x4  12 Ru 3.13, 4 Dy 3.27
Dy 0.2500 0.2500 0.2500 x4  12 Ru 3.13, 4 Tb 3.27
Ru 0.1250 0.1250 0.6250 x16  6 Ru 2.67

Values from the calculation:
As for the crystal system: cubic. The density of states at the Fermi level is 25.80 states/eV/cell. The mass density comes out at 11.19 g cm⁻³.

***

(12)
Here is crystalline TbDy5Ru6 at its relaxed geometry from Alexandria via LeMat-Bulk. Energies are from PBE-GGA.

Cell: 4.8135 6.8124 14.3809 Å, 90.00 90.00 90.00°
With the nearest neighbours (Å) after each atom.
Space group Immm (No. 71)
Symmetry-distinct sites (fractional):
Tb 0.0000 0.0000 0.0000 x2  8 Ru 2.94-2.95
Dy 0.0000 0.0000 0.3333 x4  8 Ru 2.94-2.95
Dy 0.0000 0.5000 0.0000 x2  8 Ru 2.94-2.95
Dy 0.0000 0.5000 0.3331 x4  8 Ru 2.93-2.95
Ru 0.0000 0.2501 0.1669 x8  7 Dy 2.93-2.95, 1 Tb 2.94
Ru 0.0000 0.2495 0.5000 x4  6 Dy 2.94-2.95, 2 Tb 2.95

Values from the calculation:
As for the crystal system: orthorhombic. The density of states at the Fermi level is 25.08 states/eV/cell. The mass density comes out at 11.11 g cm⁻³.

***

(13)
Here is crystalline Tb5Dy2Ru4 at its relaxed geometry from Alexandria via LeMat-Bulk. Energies are from PBE-GGA.

Cell: 25.5456 3.3360 6.5982 Å, 90.00 97.16 90.00°
With the nearest neighbours (Å) after each atom.
Space group C2/m (No. 12)
Symmetry-distinct sites (fractional):
Tb 0.0000 0.0000 0.0000 x2  4 Ru 2.72
Tb 0.1422 0.5000 0.9051 x4  3 Ru 2.88-2.91
Tb 0.1966 0.5000 0.4334 x4  1 Ru 2.74
Dy 0.0711 0.5000 0.3813 x4  2 Ru 2.52-2.66
Ru 0.0332 0.5000 0.7157 x4  2 Dy 2.52-2.66, 2 Tb 2.72
Ru 0.2302 0.0000 0.8362 x4  3 Tb 2.74-2.88, 2 Ru 2.82

Values from the calculation:
As for the crystal system: monoclinic. The density of states at the Fermi level is 18.94 states/eV/cell. The mass density comes out at 9.07 g cm⁻³.

***

(14)
Here is crystalline Tb3DyRu2 at its relaxed geometry from Alexandria via LeMat-Bulk. Energies are from PBE-GGA.

Cell: 9.6127 9.6200 6.3555 Å, 90.00 90.00 90.00°
With the nearest neighbours (Å) after each atom.
Space group Cmcm (No. 63)
Symmetry-distinct sites (fractional):
Tb 0.0000 0.0683 0.2500 x4  4 Ru 2.96
Tb 0.1821 0.2497 0.7500 x8  4 Ru 2.95-2.96
Dy 0.0000 0.4326 0.2500 x4  4 Ru 2.95
Ru 0.2492 0.5000 0.0000 x8  2 Dy 2.95, 6 Tb 2.95-2.96, 2 Ru 3.18

Values from the calculation:
As for the crystal system: orthorhombic. The density of states at the Fermi level is 20.92 states/eV/cell. The offset from the most stable computed form is 0.0 meV/atom. The mass density comes out at 9.51 g cm⁻³.

***

(15)
Here is crystalline Tb2Dy2Ru3 at its relaxed geometry from Alexandria via LeMat-Bulk. Energies are from PBE-GGA.

Cell: 8.4726 4.8848 8.0521 Å, 90.00 110.24 90.00°
With the nearest neighbours (Å) after each atom.
Space group C2/m (No. 12)
Symmetry-distinct sites (fractional):
Tb 0.1234 0.0000 0.3698 x4  7 Ru 2.85-2.99
Dy 0.1256 0.5000 0.8777 x4  5 Ru 2.84-3.00
Ru 0.0000 0.5000 0.5000 x2  2 Dy 2.85, 6 Tb 2.99
Ru 0.2486 0.0000 0.7465 x4  4 Dy 2.84-3.00, 4 Tb 2.85-2.96

Values from the calculation:
As for the crystal system: monoclinic. The density of states at the Fermi level is 10.06 states/eV/cell. The offset from the most stable computed form is 0.0 meV/atom. The mass density comes out at 10.05 g cm⁻³.

***

(16)
Here is crystalline Tb3DyRu8 at its relaxed geometry from Alexandria via LeMat-Bulk. Energies are from PBE-GGA.

Cell: 9.2339 5.3343 9.2950 Å, 90.00 109.45 90.00°
With the nearest neighbours (Å) after each atom.
Space group Cm (No. 8)
Symmetry-distinct sites (fractional):
Tb 0.0000 0.0000 0.0000 x2  12 Ru 3.13-3.15, 3 Tb 3.27, 1 Dy 3.28
Tb 0.0000 0.5000 0.5001 x2  12 Ru 3.13-3.14, 3 Dy 3.27, 1 Tb 3.28
Tb 0.3751 0.0000 0.1253 x2  12 Ru 3.13-3.15, 4 Tb 3.27-3.28
Dy 0.3752 0.5000 0.6255 x2  12 Ru 3.13-3.14, 4 Tb 3.27-3.28
Ru 0.1873 0.2504 0.8123 x4  6 Ru 2.66-2.68
Ru 0.1877 0.0000 0.5632 x2  6 Ru 2.67-2.68
Ru 0.1878 0.2501 0.3132 x4  6 Ru 2.67-2.68
Ru 0.1877 0.5000 0.0632 x2  6 Ru 2.68
Ru 0.4377 0.0000 0.8123 x2  6 Ru 2.66-2.68
Ru 0.4377 0.5000 0.3132 x2  6 Ru 2.67-2.68

Values from the calculation:
As for the crystal system: monoclinic. The density of states at the Fermi level is 29.99 states/eV/cell. The mass density comes out at 11.14 g cm⁻³.

***

(17)
Here is crystalline Tb3DyRu4 at its relaxed geometry from Alexandria via LeMat-Bulk. Energies are from PBE-GGA.

Cell: 3.4175 4.8152 9.6287 Å, 90.00 90.00 90.00°
With the nearest neighbours (Å) after each atom.
Space group Pmmm (No. 47)
Symmetry-distinct sites (fractional):
Tb 0.0000 0.0000 0.0000 x1  8 Ru 2.95-2.96
Tb 0.0000 0.5000 0.2506 x2  8 Ru 2.95-2.96
Dy 0.0000 0.0000 0.5000 x1  8 Ru 2.95
Ru 0.5000 0.0000 0.2507 x2  2 Dy 2.95, 6 Tb 2.95-2.96
Ru 0.5000 0.5000 0.0000 x1  8 Tb 2.95-2.96
Ru 0.5000 0.5000 0.5000 x1  4 Tb 2.95, 4 Dy 2.95

Values from the calculation:
As for the crystal system: orthorhombic. The density of states at the Fermi level is 8.42 states/eV/cell. The mass density comes out at 10.94 g cm⁻³.

***

(18)
Here is crystalline TbDyTlRu at its relaxed geometry from Alexandria via LeMat-Bulk. Energies are from PBE-GGA.

Cell: 7.2014 7.2014 7.2014 Å, 90.00 90.00 90.00°
With the nearest neighbours (Å) after each atom.
Space group F-43m (No. 216)
Symmetry-distinct sites (fractional):
Tb 0.0000 0.0000 0.0000 x4  4 Tl 3.12, 4 Ru 3.12
Dy 0.0000 0.0000 0.5000 x4  4 Ru 3.12, 4 Tl 3.12
Tl 0.2500 0.2500 0.2500 x4  4 Dy 3.12, 4 Tb 3.12
Ru 0.2500 0.2500 0.7500 x4  4 Tb 3.12, 4 Dy 3.12

Values from the calculation:
As for the crystal system: cubic. The density of states at the Fermi level is 8.62 states/eV/cell. The mass density comes out at 11.15 g cm⁻³.

***

(19)
Here is crystalline Tb2DyU2Ru5 at its relaxed geometry from Alexandria via LeMat-Bulk. Energies are from PBE-GGA.

Cell: 10.6161 10.6161 3.6000 Å, 90.00 90.00 90.00°
With the nearest neighbours (Å) after each atom.
Space group P4/mbm (No. 127)
Symmetry-distinct sites (fractional):
Tb 0.1747 0.3253 0.0000 x4  1 U 2.86, 2 Ru 3.18
Dy 0.0000 0.0000 0.0000 x2  8 Ru 2.95
U 0.1348 0.6348 0.0000 x4  6 Ru 2.57-2.71, 1 Tb 2.86
Ru 0.0000 0.5000 0.5000 x2  4 U 2.71
Ru 0.0534 0.7866 0.5000 x8  2 U 2.57

Values from the calculation:
As for the crystal system: tetragonal. The density of states at the Fermi level is 13.51 states/eV/cell. The mass density comes out at 11.97 g cm⁻³.

***

(20)
Here is crystalline TbDy2U2Ru5 at its relaxed geometry from Alexandria via LeMat-Bulk. Energies are from PBE-GGA.

Cell: 10.5907 10.5907 3.6144 Å, 90.00 90.00 90.00°
With the nearest neighbours (Å) after each atom.
Space group P4/mbm (No. 127)
Symmetry-distinct sites (fractional):
Tb 0.0000 0.0000 0.0000 x2  8 Ru 2.95
Dy 0.1745 0.3255 0.0000 x4  1 U 2.86, 2 Ru 3.18
U 0.1343 0.6343 0.0000 x4  6 Ru 2.56-2.70, 1 Dy 2.86
Ru 0.0000 0.5000 0.5000 x2  4 U 2.70
Ru 0.0541 0.7862 0.5000 x8  2 U 2.56

Values from the calculation:
As for the crystal system: tetragonal. The density of states at the Fermi level is 13.55 states/eV/cell. The mass density comes out at 12.00 g cm⁻³.

***

no.,DFT total energy (eV/cell)
1,-46.761
2,-114.279
3,-134.886
4,-153.590
5,-229.925
6,-146.193
7,-134.920
8,-27.969
9,-29.015
10,-194.249
11,-192.387
12,-174.160
13,-134.892
14,-155.824
15,-96.296
16,-192.247
17,-57.954
18,-87.497
19,-171.214
20,-171.172